18
Lattice="6.8499 0.0000 0.0000 0.0000 6.8499 0.0000 0.0000 0.0000 5.8493" Properties=species:S:1:pos:R:3 comment="Pm2TlRhO5 | Alexandria | GGA-PBE | relaxed" rho_kg_m3=8196 pbc="T T T"
Pm 1.2125 2.2124 0.0000
Pm 2.2124 5.6374 0.0000
Pm 4.6375 1.2125 0.0000
Pm 5.6374 4.6375 0.0000
Tl 0.0000 0.0000 2.9247
Tl 3.4249 3.4249 2.9247
Rh 0.0000 3.4249 2.9247
Rh 3.4249 0.0000 2.9247
O 0.0000 0.0000 0.0000
O 0.9034 4.3283 1.4175
O 0.9034 4.3283 4.4318
O 2.5216 0.9034 1.4175
O 2.5216 0.9034 4.4318
O 3.4249 3.4249 0.0000
O 4.3283 5.9465 1.4175
O 4.3283 5.9465 4.4318
O 5.9465 2.5216 1.4175
O 5.9465 2.5216 4.4318



11
Lattice="6.0039 -5.1801 0.0000 6.0039 5.1801 0.0000 -0.6669 0.0000 6.5222" Properties=species:S:1:pos:R:3 comment="LaPr7Sm3 | Alexandria | GGA-PBE | relaxed" rho_kg_m3=6452 formation_energy_ev_per_atom=0.1988 pbc="T T T"
La 0.0000 0.0000 0.0000
Pr -0.3334 0.0000 3.2611
Pr 2.5013 1.8167 4.9610
Pr 2.9900 0.0000 1.8796
Pr 2.5013 -1.8167 4.9610
Pr 8.8397 1.8167 1.5612
Pr 8.3509 0.0000 4.6426
Pr 8.8397 -1.8167 1.5612
Sm 5.6705 1.7677 3.2611
Sm 6.0039 0.0000 0.0000
Sm 5.6705 -1.7677 3.2611



4
Lattice="4.5529 0.0000 0.0000 0.0000 1.9324 5.7538 0.0000 -1.9324 5.7538" Properties=species:S:1:pos:R:3 comment="PrHoGaAu | Alexandria | GGA-PBE | relaxed" rho_kg_m3=9390 formation_energy_ev_per_atom=-0.6785 pbc="T T T"
Pr 0.0000 0.0000 0.0000
Ho 2.2764 0.0000 8.2362
Ga 2.2764 0.0000 4.9248
Au 0.0000 0.0000 3.1301



Total energy across the listed records, respectively: -125.2, -50.4, -18.4 eV/cell.